Record 1
Below is crystalline NpMn3P3 at its relaxed geometry, with properties calculated at the PBE level.

The structure in extended XYZ format:
```
14
Lattice="-5.5218 2.4535 -1.4779 -1.5401 -5.2496 -2.9605 -2.4149 -2.2620 5.2674" Properties=species:S:1:pos:R:3 pbc="T T T"
Np -4.7384 -2.5291 0.4145
Np 0.0000 0.0000 0.0000
P -1.5925 -2.4434 1.8936
P -2.3626 -5.0682 0.4134
P -4.5721 -0.4698 3.2116
P -4.9114 -0.7847 -2.5887
P -3.3646 0.6612 0.5779
P -2.1505 -2.0114 -1.8497
Mn -2.5879 -0.5176 2.2642
Mn -1.3738 -3.1903 -0.1634
Mn -3.9160 -2.7104 -2.9593
Mn -5.3488 0.7091 1.5253
Mn -2.5813 -4.3213 2.4703
Mn -3.1459 -0.0856 -1.4791
```

The calculated formation energy comes out at -0.139 eV/atom.

Record 2
Below is crystalline RbN2OF at its relaxed geometry, with properties calculated at the PBE level.

The structure in extended XYZ format:
```
5
Lattice="-0.3491 2.3244 -3.3988 -2.0996 -3.0347 -1.8597 -4.8193 2.1358 1.9556" Properties=species:S:1:pos:R:3 pbc="T T T"
N -1.0498 -1.5174 -0.9299
N -0.1746 1.1622 -1.6994
O -2.4096 1.0679 0.9778
Rb -3.6340 0.7127 -1.6514
F 0.0000 0.0000 0.0000
```

The calculation puts the uncorrected formation energy at 1.659 eV per atom.

Record 3
Below is crystalline KCrOs2 at its relaxed geometry, with properties calculated at the PBE level.

The structure in extended XYZ format:
```
8
Lattice="-7.2538 -0.3984 -0.8572 0.9170 -1.3555 -7.1298 -3.0812 -3.6056 -3.4635" Properties=species:S:1:pos:R:3 pbc="T T T"
Cr 0.0000 0.0000 0.0000
Cr -6.7517 -2.4405 -4.1571
K -3.1684 -0.8769 -3.9935
K -2.6663 -2.9190 -7.2934
Os -5.6950 -1.3476 -2.3526
Os -0.5982 -1.7706 -5.3694
Os -4.7511 -3.2674 -5.0957
Os -7.7917 -4.3333 -10.0832
```

The calculated formation energy comes out at 1.546 eV/atom.